Entry 1:
This record from Alexandria describes a relaxed structure of Cu5GeAu. The functional is PBE.

a b c (Å): 4.794 4.794 9.989
angles (deg): 90.74 90.74 58.40
Atoms (fractional coordinates):
Cu1 0.244 0.756 0.750
Cu2 0.247 0.254 0.676
Cu3 0.254 0.247 0.176
Cu4 0.315 0.324 0.933
Cu5 0.324 0.315 0.433
Cu6 0.676 0.685 0.567
Cu7 0.685 0.676 0.067
Cu8 0.746 0.753 0.824
Cu9 0.753 0.746 0.324
Cu10 0.756 0.244 0.250
Ge1 0.260 0.740 0.250
Ge2 0.740 0.260 0.750
Au1 0.000 0.000 0.000
Au2 0.000 0.000 0.500

energy relative to the lowest polymorph listed for this composition	0	meV per atom
crystal system	monoclinic
magnetic moment	0.0	μB per cell
symmetry	No. 15

=====

Entry 2:
This record from Alexandria describes a relaxed structure of SnSb5. The functional is PBE.

a b c (Å): 8.409 8.409 3.773
angles (deg): 90.00 90.00 142.06
Atoms (fractional coordinates):
Sn1 0.000 0.000 0.000
Sb1 0.169 0.831 0.500
Sb2 0.336 0.664 0.000
Sb3 0.500 0.500 0.500
Sb4 0.664 0.336 0.000
Sb5 0.831 0.169 0.500

crystal system	orthorhombic
E_form (uncorrected)	195	meV/atom
magnetic moment	0.0	μB per cell
symmetry	No. 65

=====

Entry 3:
This record from Alexandria describes a relaxed structure of TbPr12Sm2. The functional is PBE.

a b c (Å): 6.723 6.723 25.159
angles (deg): 90.00 90.00 90.00
Atoms (fractional coordinates):
Tb1 0.250 0.750 0.000
Tb2 0.750 0.250 0.000
Pr1 0.000 0.000 0.108
Pr2 0.000 0.000 0.892
Pr3 0.000 0.500 0.108
Pr4 0.000 0.500 0.892
Pr5 0.083 0.583 0.437
Pr6 0.083 0.917 0.563
Pr7 0.250 0.250 0.208
Pr8 0.250 0.250 0.333
Pr9 0.250 0.250 0.667
Pr10 0.250 0.250 0.792
Pr11 0.417 0.583 0.563
Pr12 0.417 0.917 0.437
Pr13 0.500 0.000 0.108
Pr14 0.500 0.000 0.892
Pr15 0.500 0.500 0.108
Pr16 0.500 0.500 0.892
Pr17 0.583 0.083 0.563
Pr18 0.583 0.417 0.437
Pr19 0.750 0.750 0.208
Pr20 0.750 0.750 0.333
Pr21 0.750 0.750 0.667
Pr22 0.750 0.750 0.792
Pr23 0.917 0.083 0.437
Pr24 0.917 0.417 0.563
Sm1 0.250 0.750 0.249
Sm2 0.250 0.750 0.751
Sm3 0.750 0.250 0.249
Sm4 0.750 0.250 0.751

crystal system	tetragonal
final energy	-66.4	eV per formula unit
magnetic moment	0.0	μB per cell
symmetry	No. 125

=====

Entry 4:
This record from Alexandria describes a relaxed structure of Dy3Os. The functional is PBE.

a b c (Å): 6.363 6.363 6.363
angles (deg): 147.51 131.64 59.47
Atoms (fractional coordinates):
Dy1 0.000 0.000 0.000
Dy2 0.302 0.802 0.500
Dy3 0.698 0.198 0.500
Os1 0.500 0.500 0.000

crystal system	orthorhombic
final energy	-25.6	eV per formula unit
magnetic moment	0.0	μB per cell
symmetry	No. 71

=====

> magnetic moment of number 2 (SnSb5)?

0.0 μB per cell